# 1
This record from Alexandria via LeMat-Bulk describes an optimized crystal structure of TlMoSe2. The functional is PBEsol.

Structure (POSCAR):
```
TlMoSe2
1.0
3.101 0.000 0.000
0.000 3.101 0.000
0.000 0.000 8.565
Tl Se Mo
1 2 1
direct
0.500 0.500 0.000
0.000 0.000 0.324
0.000 0.000 0.676
0.500 0.500 0.500
```

Its uncorrected energy is -5.821 eV/atom. The value obtained for the uncorrected formation energy is -297 meV per atom.


# 2
This record from Alexandria via LeMat-Bulk describes an optimized crystal structure of Ru4Pt5. The functional is PBEsol.

Structure (POSCAR):
```
Ru4Pt5
1.0
-0.439 -3.635 -1.083
5.280 -2.910 0.894
-1.896 -3.212 4.820
Pt Ru
5 4
direct
0.670 0.000 0.661
0.000 0.000 0.000
0.330 0.000 0.339
0.670 0.661 0.000
0.330 0.339 0.000
0.000 0.654 0.346
0.346 0.654 0.654
0.654 0.346 0.346
0.000 0.346 0.654
```

Its uncorrected energy is -8.409 eV/atom. For the formation enthalpy at 0 K, the calculation gives -0.17 eV per formula unit.


no.,DOS at the Fermi energy (states/eV/f.u.)
1,1.9
2,8.8